P) {"formula": "Tc2MoCl", "functional": "PBE", "state": "relaxed", "density_kg_m3": 8899, "vol_a3_per_cell": 61.09, "dos_at_fermi_per_ev_atom": 0.604, "crystal_system": "monoclinic", "lattice_angstrom": [[4.0401, 0.0000, 0.0000], [0.0000, 2.8614, 0.0045], [0.0000, 1.3415, 5.2865]], "species": ["Cl", "Mo", "Tc", "Tc"], "fractional_positions": [[0.0000, 0.6216, 0.4797], [0.5000, 0.5457, 0.7504], [0.0000, 0.9637, 0.0345], [0.5000, 0.3690, 0.2354]]}



Q) {"formula": "Tc2MoCl", "functional": "PBE", "state": "relaxed", "density_kg_m3": 8739, "vol_a3_per_cell": 62.21, "dos_at_fermi_per_ev_atom": 1.024, "crystal_system": "orthorhombic", "lattice_angstrom": [[2.9299, 0.0000, 0.0000], [0.0000, 4.0587, 0.0000], [0.0000, 0.0000, 5.2315]], "species": ["Cl", "Mo", "Tc", "Tc"], "fractional_positions": [[0.5000, 0.5000, 0.2500], [0.5000, 0.5000, 0.7500], [0.0000, 0.0000, 0.9800], [0.0000, 0.0000, 0.5200]]}



R) {"formula": "Tc2MoCl", "functional": "PBE", "state": "relaxed", "density_kg_m3": 8739, "vol_a3_per_cell": 62.21, "dos_at_fermi_per_ev_atom": 0.652, "crystal_system": "tetragonal", "lattice_angstrom": [[3.0218, 0.0000, 0.0000], [0.0000, 3.0218, 0.0000], [0.0000, 0.0000, 6.8124]], "species": ["Cl", "Mo", "Tc", "Tc"], "fractional_positions": [[0.5000, 0.5000, 0.2500], [0.5000, 0.5000, 0.7500], [0.0000, 0.0000, 0.9814], [0.0000, 0.0000, 0.5186]]}



Which of the structures shown above is the most stable? The most stable is R).